# PBE Al3Hg, relaxed
# **Density**: 6.26 g cm⁻³
# **Calculated formation energy**: 0.16 eV/atom
# **Density of states at the Fermi level**: 0.465 states/eV per atom
# **Energy above the most stable polymorph in this dataset**: 0.21 eV per formula unit
data_Al3Hg
_cell_length_a 6.007
_cell_length_b 6.007
_cell_length_c 4.141
_cell_angle_alpha 90.00
_cell_angle_beta 90.00
_cell_angle_gamma 90.85
_space_group_name_H-M_alt 'P 1'
_space_group_IT_number 1
_space_group_name_Hall 'P 1'
loop_
_atom_site_label
_atom_site_fract_x
_atom_site_fract_y
_atom_site_fract_z
Al1 0.114 0.886 0.750
Al2 0.886 0.114 0.250
Al3 0.634 0.875 0.750
Al4 0.366 0.125 0.250
Al5 0.875 0.634 0.250
Al6 0.125 0.366 0.750
Hg1 0.641 0.359 0.750
Hg2 0.359 0.641 0.250